[1]
Entry from Alexandria: a geometry-optimized TeAs2Rh structure (PBE).

Results
crystal system = tetragonal
total magnetization = 0.0 μB/f.u.
space group = P4mm
DFT total energy = -19.239 eV for the cell shown

a = 3.0174 Å, b = 3.0174 Å, c = 9.0167 Å
α = 90.00°, β = 90.00°, γ = 90.00°
Last column: nearest neighbours and their distance in Å.
Positions (direct):
Te: 0.0000 0.0000 0.0000  4 Rh 2.97, 4 Te 3.02
As: 0.0000 0.0000 0.6058  4 Rh 2.60
As: 0.5000 0.5000 0.3418  8 As 3.02-3.20
Rh: 0.5000 0.5000 0.7702  4 As 2.60

---

[2]
Entry from Alexandria: a geometry-optimized CuHPd3 structure (PBE).

Results
crystal system = tetragonal
total magnetization = 0.0 μB/f.u.
space group = I-4m2
DFT total energy = -37.063 eV for the cell shown

a = 9.4215 Å, b = 9.4215 Å, c = 9.4215 Å
α = 150.80°, β = 150.80°, γ = 41.77°
Last column: nearest neighbours and their distance in Å.
Positions (direct):
Cu: 0.0000 0.0000 0.0000  4 Pd 2.50
Cu: 0.7500 0.2500 0.5000  4 Pd 2.50
H: 0.1342 0.6342 0.5000  6 Pd 2.38-2.65
H: 0.3658 0.8658 0.5000  6 Pd 2.38-2.65
Pd: 0.3573 0.3573 0.0000  2 H 2.38
Pd: 0.3721 0.1256 0.2465  2 Pd 2.34-2.41, 2 Cu 2.50
Pd: 0.6427 0.6427 0.0000  2 H 2.38
Pd: 0.8744 0.1209 0.2465  2 Pd 2.34-2.41, 2 Cu 2.50
Pd: 0.8744 0.6279 0.7535  2 Pd 2.34-2.41, 2 Cu 2.50
Pd: 0.8791 0.1256 0.7535  2 Pd 2.34-2.41, 2 Cu 2.50

---

[3]
Entry from Alexandria: a geometry-optimized Ac2AgRh structure (PBE).

Results
crystal system = tetragonal
total magnetization = 0.0 μB/f.u.
ΔE_f = -0.4080 eV per atom
space group = P4/mmm
DFT total energy = -20.052 eV for the cell shown

a = 3.7968 Å, b = 3.7968 Å, c = 7.8502 Å
α = 90.00°, β = 90.00°, γ = 90.00°
Last column: nearest neighbours and their distance in Å.
Positions (direct):
Ac: 0.0000 0.0000 0.2279  4 Rh 3.23, 4 Ag 3.43, 1 Ac 3.58
Ac: 0.0000 0.0000 0.7721  4 Rh 3.23, 4 Ag 3.43, 1 Ac 3.58
Ag: 0.5000 0.5000 0.5000  8 Ac 3.43, 4 Ag 3.80
Rh: 0.5000 0.5000 0.0000  8 Ac 3.23

---

[4]
Entry from Alexandria: a geometry-optimized K3HfGa structure (PBE).

Results
crystal system = cubic
total magnetization = 2.0 μB/f.u.
ΔE_f = 1.1907 eV per atom
space group = Pm-3m
DFT total energy = -10.319 eV for the cell shown

a = 6.3603 Å, b = 6.3603 Å, c = 6.3603 Å
α = 90.00°, β = 90.00°, γ = 90.00°
Last column: nearest neighbours and their distance in Å.
Positions (direct):
K: 0.0000 0.0000 0.5000  2 Ga 3.18
K: 0.0000 0.5000 0.0000  2 Ga 3.18
K: 0.5000 0.0000 0.0000  2 Ga 3.18
Hf: 0.5000 0.5000 0.5000  12 K 4.50
Ga: 0.0000 0.0000 0.0000  6 K 3.18

---

[5]
Entry from Alexandria: a geometry-optimized La3PrY6 structure (PBE).

Results
crystal system = trigonal
total magnetization = 0.0 μB/f.u.
ΔE_f = 0.2645 eV per atom
space group = R-3
DFT total energy = -55.701 eV for the cell shown

a = 6.9932 Å, b = 6.9932 Å, c = 6.9932 Å
α = 91.97°, β = 91.97°, γ = 91.97°
Last column: nearest neighbours and their distance in Å.
Positions (direct):
La: 0.0000 0.0000 0.0000  2 La 2.91
La: 0.2486 0.2486 0.2486  1 La 2.91, 1 Pr 2.94
La: 0.7514 0.7514 0.7514  1 La 2.91, 1 Pr 2.94
Pr: 0.5000 0.5000 0.5000  2 La 2.94
Y: 0.0746 0.4251 0.7485  2 La 3.27-3.54, 1 Pr 3.53
Y: 0.2515 0.9254 0.5749  2 La 3.27-3.54, 1 Pr 3.53
Y: 0.4251 0.7485 0.0746  2 La 3.27-3.54, 1 Pr 3.53
Y: 0.5749 0.2515 0.9254  2 La 3.27-3.54, 1 Pr 3.53
Y: 0.7485 0.0746 0.4251  2 La 3.27-3.54, 1 Pr 3.53
Y: 0.9254 0.5749 0.2515  2 La 3.27-3.54, 1 Pr 3.53

---

[6]
Entry from Alexandria: a geometry-optimized Sc2TaMn2 structure (PBE).

Results
crystal system = tetragonal
total magnetization = 0.0 μB/f.u.
ΔE_f = 0.0801 eV per atom
space group = P4/mbm
DFT total energy = -84.909 eV for the cell shown

a = 6.2386 Å, b = 6.2386 Å, c = 4.4318 Å
α = 90.00°, β = 90.00°, γ = 90.00°
Last column: nearest neighbours and their distance in Å.
Positions (direct):
Sc: 0.1765 0.3235 0.0000  6 Mn 2.85-2.91, 1 Sc 3.11
Sc: 0.3235 0.8235 0.0000  6 Mn 2.85-2.91, 1 Sc 3.11
Sc: 0.6765 0.1765 0.0000  6 Mn 2.85-2.91, 1 Sc 3.11
Sc: 0.8235 0.6765 0.0000  6 Mn 2.85-2.91, 1 Sc 3.11
Ta: 0.0000 0.0000 0.5000  4 Mn 2.48
Ta: 0.5000 0.5000 0.5000  4 Mn 2.48
Mn: 0.1210 0.6210 0.5000  1 Mn 2.14
Mn: 0.3790 0.1210 0.5000  1 Mn 2.14
Mn: 0.6210 0.8790 0.5000  1 Mn 2.14
Mn: 0.8790 0.3790 0.5000  1 Mn 2.14

---

[7]
Entry from Alexandria: a geometry-optimized Be2IrCl structure (PBE).

Results
crystal system = monoclinic
total magnetization = 0.0 μB/f.u.
space group = Cm
DFT total energy = -19.104 eV for the cell shown

a = 3.8951 Å, b = 3.8951 Å, c = 6.4352 Å
α = 112.29°, β = 112.29°, γ = 45.18°
Last column: nearest neighbours and their distance in Å.
Positions (direct):
Be: 0.0000 0.0000 0.0000  1 Cl 1.95
Be: 0.6648 0.6648 0.8396  3 Ir 2.18-2.24, 3 Be 2.20-2.39
Ir: 0.3344 0.3344 0.7236  5 Be 2.18-2.25
Cl: 0.2288 0.2288 0.2977  1 Be 1.95